# 1
DFT (PBE-GGA) results for crystalline Mn7P2C2 at its relaxed geometry.

abc: 6.5167 7.6623 5.0813
angles: 90.00 90.00 90.00
Closest atoms and distances in Å follow each position.
Space group Cmmm (No. 65)
Unique sites:
Mn 0.0000 0.0000 0.0000 (multiplicity 2)  2 C 2.17
Mn 0.0000 0.5000 0.2332 (multiplicity 4)  2 C 2.04, 2 P 2.26
Mn 0.2500 0.2500 0.2414 (multiplicity 8)  2 C 2.05
P 0.2223 0.0000 0.5000 (multiplicity 4)  6 Mn 2.26-2.33
C 0.0000 0.2827 0.0000 (multiplicity 4)  7 Mn 2.04-2.17

energy relative to the elements	-0.09	eV per atom
crystal system	orthorhombic

# 2
DFT (PBE-GGA) results for crystalline MnNi2Pt at its relaxed geometry.

abc: 5.2304 5.2380 7.4404
angles: 90.00 90.00 90.00
Closest atoms and distances in Å follow each position.
Space group Fmmm (No. 69)
Unique sites:
Mn 0.0000 0.0000 0.0000 (multiplicity 4)  4 Pt 2.62, 8 Ni 2.62
Ni 0.2500 0.2500 0.2500 (multiplicity 8)  4 Ni 2.62, 4 Mn 2.62, 4 Pt 2.62
Pt 0.0000 0.0000 0.5000 (multiplicity 4)  4 Mn 2.62, 8 Ni 2.62

energy relative to the elements	-0.18	eV per atom
crystal system	orthorhombic

# 3
DFT (PBE-GGA) results for crystalline Nd2SmPuN4 at its relaxed geometry.

abc: 6.1889 3.5885 6.2011
angles: 90.00 109.26 90.00
Closest atoms and distances in Å follow each position.
Space group P2/m (No. 10)
Unique sites:
Nd 0.0000 0.0000 0.0000 (multiplicity 1)  6 N 2.63
Nd 0.5000 0.5000 0.0000 (multiplicity 1)  6 N 2.55
Sm 0.0000 0.5000 0.5000 (multiplicity 1)  6 N 2.51-2.52
Pu 0.5000 0.0000 0.5000 (multiplicity 1)  6 N 2.42-2.45
N 0.2573 0.0000 0.7365 (multiplicity 2)  1 Pu 2.42, 2 Sm 2.52, 3 Nd 2.55-2.63
N 0.2664 0.5000 0.2698 (multiplicity 2)  2 Pu 2.45, 1 Sm 2.51, 3 Nd 2.55-2.63

crystal system	monoclinic
formation energy without anion corrections	-1.36	eV/atom

# 4
DFT (PBE-GGA) results for crystalline ReMoAu2 at its relaxed geometry.

abc: 2.8461 2.8461 28.5320
angles: 90.00 90.00 120.00
Closest atoms and distances in Å follow each position.
Space group R3m (No. 160, hexagonal axes)
Unique sites:
Re 0.0000 0.0000 0.0000 (multiplicity 3)  3 Mo 2.70, 6 Re 2.85, 3 Au 2.93
Mo 0.0000 0.0000 0.7419 (multiplicity 3)  3 Re 2.70, 6 Mo 2.85, 3 Au 2.93
Au 0.0000 0.0000 0.2485 (multiplicity 3)  9 Au 2.85-3.01, 3 Re 2.93
Au 0.0000 0.0000 0.4935 (multiplicity 3)  9 Au 2.85-3.01, 3 Mo 2.93

energy relative to the elements	0.27	eV per atom
energy above the lowest structure with this stoichiometry	17.6	meV/atom
crystal system	trigonal

# 5
DFT (PBE-GGA) results for crystalline BeNbCo at its relaxed geometry.

abc: 3.9233 3.9233 2.7873
angles: 90.00 90.00 120.00
Closest atoms and distances in Å follow each position.
Space group P-6m2 (No. 187)
Unique sites:
Be 0.0000 0.0000 0.0000 (multiplicity 1)  3 Co 2.27
Nb 0.6667 0.3333 0.5000 (multiplicity 1)  6 Be 2.66, 6 Co 2.66, 2 Nb 2.79
Co 0.3333 0.6667 0.0000 (multiplicity 1)  3 Be 2.27

energy relative to the elements	-0.14	eV per atom
energy above the lowest structure with this stoichiometry	131.0	meV/atom
crystal system	hexagonal

# 6
DFT (PBE-GGA) results for crystalline TmHPt at its relaxed geometry.

abc: 3.5266 3.5266 7.2132
angles: 90.00 90.00 90.00
Closest atoms and distances in Å follow each position.
Space group P4/nmm (No. 129, origin choice 2)
Unique sites:
Tm 0.2500 0.2500 0.1894 (multiplicity 2)  4 H 2.23
H 0.2500 0.7500 0.0000 (multiplicity 2)  4 Tm 2.23, 4 H 2.49
Pt 0.2500 0.2500 0.6102 (multiplicity 2)  5 Tm 2.88-3.04, 4 Pt 2.96

energy above the lowest structure with this stoichiometry	0.0	meV/atom
crystal system	tetragonal

# 7
DFT (PBE-GGA) results for crystalline Nd6P4Pb at its relaxed geometry.

abc: 4.1919 13.8044 21.4205
angles: 90.00 90.00 90.00
Closest atoms and distances in Å follow each position.
Space group Cmcm (No. 63)
Unique sites:
Nd 0.0000 0.0000 0.0000 (multiplicity 4)  6 P 2.94-2.96
Nd 0.0000 0.1613 0.2500 (multiplicity 4)  2 P 2.86
Nd 0.0000 0.2730 0.5809 (multiplicity 8)  5 P 2.89-2.96
Nd 0.0000 0.4599 0.1567 (multiplicity 8)  3 P 2.82-2.86
P 0.0000 0.0917 0.1241 (multiplicity 8)  6 Nd 2.86-2.96
P 0.0000 0.3623 0.0410 (multiplicity 8)  6 Nd 2.82-2.96
Pb 0.0000 0.1624 0.7500 (multiplicity 4)  6 Nd 3.21-3.35

energy relative to the elements	-1.28	eV per atom
crystal system	orthorhombic

# 8
DFT (PBE-GGA) results for crystalline ZrBrNF2 at its relaxed geometry.

abc: 4.3540 4.3540 4.2973
angles: 90.00 90.00 90.00
Closest atoms and distances in Å follow each position.
Space group P4/mmm (No. 123)
Unique sites:
Zr 0.0000 0.0000 0.0000 (multiplicity 1)  8 F 3.06, 4 N 3.08
Br 0.5000 0.5000 0.5000 (multiplicity 1)  2 N 2.15, 4 F 2.18
N 0.5000 0.5000 0.0000 (multiplicity 1)  2 Br 2.15
F 0.0000 0.5000 0.5000 (multiplicity 2)  2 Br 2.18

energy above the lowest structure with this stoichiometry	2027.6	meV/atom
crystal system	tetragonal
formation energy without anion corrections	0.47	eV/atom

Number 1: calculated density 6.2 g cm⁻³, final energy -8.59 eV/atom. Number 2: calculated density 12.0 g cm⁻³, final energy -6.87 eV/atom. Number 3: calculated density 9.4 g cm⁻³, final energy -9.10 eV/atom. Number 4: calculated density 16.8 g cm⁻³, final energy -7.18 eV/atom. Number 5: calculated density 7.2 g cm⁻³, final energy -7.11 eV/atom. Number 6: calculated density 13.5 g cm⁻³, final energy -5.50 eV/atom. Number 7: calculated density 6.4 g cm⁻³, final energy -6.19 eV/atom. Number 8: calculated density 4.5 g cm⁻³, final energy -3.99 eV/atom.